# PBE RbLiW2I, optimized geometry
data_RbLiW2I
_chemical_formula_sum 'Rb1 Li1 W2 I1'
_cell_length_a 5.0098
_cell_length_b 6.3880
_cell_length_c 5.0098
_cell_angle_alpha 90.00
_cell_angle_beta 90.00
_cell_angle_gamma 90.00
_symmetry_space_group_name_H-M 'P 1'
_symmetry_Int_Tables_number 1
loop_
_symmetry_equiv_pos_as_xyz
'x,y,z'
loop_
_atom_site_label
_atom_site_fract_x
_atom_site_fract_y
_atom_site_fract_z
Li1 0.5000 0.5000 0.5000
W1 0.5000 0.0000 0.0000
W2 0.0000 0.0000 0.5000
Rb1 0.0000 0.5000 0.0000
I1 0.0000 0.0000 0.0000
# E	-19.57	eV/f.u.
# uncorrected formation energy	2153	meV/atom

# PBE Na2As4O11, optimized geometry
data_Na2As4O11
_chemical_formula_sum 'Na4 As8 O22'
_cell_length_a 6.2665
_cell_length_b 6.2665
_cell_length_c 11.7641
_cell_angle_alpha 80.66
_cell_angle_beta 80.66
_cell_angle_gamma 85.31
_symmetry_space_group_name_H-M 'P 1'
_symmetry_Int_Tables_number 1
loop_
_symmetry_equiv_pos_as_xyz
'x,y,z'
loop_
_atom_site_label
_atom_site_fract_x
_atom_site_fract_y
_atom_site_fract_z
O1 0.1230 0.3072 0.3583
O2 0.9794 0.1850 0.0241
O3 0.7031 0.1008 0.8961
O4 0.8150 0.0206 0.4759
O5 0.0070 0.6200 0.1819
O6 0.1008 0.7031 0.3961
O7 0.0461 0.9539 0.7500
O8 0.9539 0.0461 0.2500
O9 0.3092 0.4664 0.6143
O10 0.9930 0.3800 0.8181
O11 0.8770 0.6928 0.6417
O12 0.8992 0.2969 0.6039
O13 0.2969 0.8992 0.1039
O14 0.1850 0.9794 0.5241
O15 0.0206 0.8150 0.9759
O16 0.6908 0.5336 0.3857
O17 0.6200 0.0070 0.6819
O18 0.5336 0.6908 0.8857
O19 0.4664 0.3092 0.1143
O20 0.3800 0.9930 0.3181
O21 0.6928 0.8770 0.1417
O22 0.3072 0.1230 0.8583
As1 0.0464 0.4616 0.6657
As2 0.9536 0.5384 0.3343
As3 0.9950 0.9178 0.1185
As4 0.5384 0.9536 0.8343
As5 0.4616 0.0464 0.1657
As6 0.0050 0.0822 0.8815
As7 0.0822 0.0050 0.3815
As8 0.9178 0.9950 0.6185
Na1 0.5388 0.7356 0.5371
Na2 0.2644 0.4612 0.9629
Na3 0.7356 0.5388 0.0371
Na4 0.4612 0.2644 0.4629
# E	-98.22	eV/f.u.
# uncorrected formation energy	-1320	meV/atom

# PBE Ac2YNpO6, optimized geometry
data_Ac2YNpO6
_chemical_formula_sum 'Ac4 Y2 Np2 O12'
_cell_length_a 6.1004
_cell_length_b 6.2846
_cell_length_c 8.7552
_cell_angle_alpha 90.00
_cell_angle_beta 90.03
_cell_angle_gamma 90.00
_symmetry_space_group_name_H-M 'P 1'
_symmetry_Int_Tables_number 1
loop_
_symmetry_equiv_pos_as_xyz
'x,y,z'
loop_
_atom_site_label
_atom_site_fract_x
_atom_site_fract_y
_atom_site_fract_z
Y1 0.0000 0.5000 0.5000
Y2 0.5000 0.0000 0.0000
O1 0.1982 0.1945 0.0651
O2 0.8769 0.5543 0.2528
O3 0.6231 0.0543 0.2472
O4 0.8072 0.8007 0.5651
O5 0.3018 0.6945 0.4349
O6 0.6928 0.3007 0.9349
O7 0.1231 0.4457 0.7472
O8 0.3769 0.9457 0.7528
O9 0.1928 0.1993 0.4349
O10 0.3072 0.6993 0.0651
O11 0.8018 0.8055 0.9349
O12 0.6982 0.3055 0.5651
Np1 0.0000 0.5000 0.0000
Np2 0.5000 0.0000 0.5000
Ac1 0.9857 0.0504 0.7499
Ac2 0.5143 0.5504 0.7501
Ac3 0.4857 0.4496 0.2499
Ac4 0.0143 0.9496 0.2501
# E	-89.09	eV/f.u.
# uncorrected formation energy	-3172	meV/atom